1.
A relaxed structure of ScRh3C. Source: Alexandria via LeMat-Bulk, functional PBE-GGA.

The polymorph energy (0 for the lowest one) is 0.0000 eV per atom. Its total magnetization is 0.0 μB/cell.

It has space group Pm-3m (No. 221), with a = 4.107 Å, b = 4.107 Å, c = 4.107 Å, α = 90.00°, β = 90.00° and γ = 90.00°. The distinct sites, in fractional coordinates, are Sc at (0.000, 0.000, 0.000), Rh at (0.000, 0.500, 0.500) and C at (0.500, 0.500, 0.500).

---

2.
A relaxed structure of Sc3RhC. Source: Alexandria via LeMat-Bulk, functional PBE-GGA.

The polymorph energy (0 for the lowest one) is 1.4185 eV per atom. Its total magnetization is 0.0 μB/cell.

It has space group Pm-3m (No. 221), with a = 4.897 Å, b = 4.897 Å, c = 4.897 Å, α = 90.00°, β = 90.00° and γ = 90.00°. The distinct sites, in fractional coordinates, are Sc at (0.000, 0.000, 0.500), Rh at (0.000, 0.000, 0.000) and C at (0.500, 0.500, 0.500).

---

3.
A relaxed structure of ScRh3C. Source: Alexandria via LeMat-Bulk, functional PBE-GGA.

The polymorph energy (0 for the lowest one) is 2.7307 eV per atom. Its total magnetization is 1.9 μB/cell.

It has space group Pm-3m (No. 221), with a = 4.632 Å, b = 4.632 Å, c = 4.632 Å, α = 90.00°, β = 90.00° and γ = 90.00°. The distinct sites, in fractional coordinates, are Sc at (0.000, 0.000, 0.000), Rh at (0.000, 0.000, 0.500) and C at (0.500, 0.500, 0.500).

---

4.
A relaxed structure of ScRh2C2. Source: Alexandria via LeMat-Bulk, functional PBE-GGA.

The polymorph energy (0 for the lowest one) is 0.0000 eV per atom. Its total magnetization is 0.0 μB/cell.

It has space group I4/mmm (No. 139), with a = 3.834 Å, b = 3.834 Å, c = 8.394 Å, α = 90.00°, β = 90.00° and γ = 90.00°. The distinct sites, in fractional coordinates, are Sc at (0.000, 0.000, 0.000), Rh at (0.000, 0.000, 0.345) and C at (0.000, 0.500, 0.250).

---

5.
A relaxed structure of ScRh2C2. Source: Alexandria via LeMat-Bulk, functional PBE-GGA.

The polymorph energy (0 for the lowest one) is 0.5977 eV per atom. Its total magnetization is 0.0 μB/cell.

It has space group P4/mbm (No. 127), with a = 6.650 Å, b = 6.650 Å, c = 2.807 Å, α = 90.00°, β = 90.00° and γ = 90.00°. The distinct sites, in fractional coordinates, are Sc at (0.000, 0.000, 0.000), Rh at (0.142, 0.358, 0.000) and C at (0.198, 0.698, 0.500).

---

6.
A relaxed structure of ZrSc2RhC. Source: Alexandria via LeMat-Bulk, functional PBE-GGA.

The value obtained for the raw total energy is -8.030 eV per atom. Its total magnetization is 0.0 μB/cell.

It has space group P4/mmm (No. 123), with a = 4.379 Å, b = 4.379 Å, c = 4.600 Å, α = 90.00°, β = 90.00° and γ = 90.00°. The distinct sites, in fractional coordinates, are Zr at (0.000, 0.000, 0.000), Sc at (0.000, 0.500, 0.500), Rh at (0.500, 0.500, 0.000) and C at (0.000, 0.000, 0.500).

---

7.
A relaxed structure of RhCSe2. Source: Alexandria via LeMat-Bulk, functional PBE-GGA.

The value obtained for the raw total energy is -5.089 eV per atom. Its total magnetization is 0.0 μB/cell.

It has space group I-42d (No. 122), with a = 5.367 Å, b = 5.367 Å, c = 9.854 Å, α = 90.00°, β = 90.00° and γ = 90.00°. The distinct sites, in fractional coordinates, are Rh at (0.000, 0.000, 0.000), C at (0.000, 0.000, 0.500) and Se at (0.205, 0.250, 0.625).

---

8.
A relaxed structure of RhCSe3. Source: Alexandria via LeMat-Bulk, functional PBE-GGA.

The polymorph energy (0 for the lowest one) is 0.5299 eV per atom. Its total magnetization is 1.2 μB/cell.

It has space group Pm-3m (No. 221), with a = 4.884 Å, b = 4.884 Å, c = 4.884 Å, α = 90.00°, β = 90.00° and γ = 90.00°. The distinct sites, in fractional coordinates, are Rh at (0.000, 0.000, 0.000), C at (0.500, 0.500, 0.500) and Se at (0.000, 0.000, 0.500).